(1)
GGA-PBE VB2N, relaxed; E = -59.85 eV/cell; raw formation energy = 0.2185 eV per atom; density of states at the Fermi level = 1.89 states/eV/f.u.
1.0
-2.488 2.488 2.604
2.488 -2.488 2.604
2.488 2.488 -2.604
V B N
2 4 2
direct
0.000 0.000 0.000 V
0.750 0.250 0.500 V
0.226 0.625 0.101 B
0.375 0.476 0.601 B
0.524 0.125 0.899 B
0.875 0.774 0.399 B
0.250 0.750 0.500 N
0.500 0.500 0.000 N

(2)
GGA-PBE VBN, relaxed; E = -25.54 eV/cell; E above lowest polymorph = 64 meV per atom; raw formation energy = -0.4714 eV per atom; density of states at the Fermi level = 2.60 states/eV/f.u.
1.0
2.620 0.000 0.000
-1.310 2.269 0.000
0.000 0.000 4.273
V B N
1 1 1
direct
0.000 0.000 0.000 V
0.667 0.333 0.564 B
0.000 0.000 0.499 N

(3)
GGA-PBE VBN, relaxed; E = -51.12 eV/cell; E above lowest polymorph = 56 meV per atom; raw formation energy = -0.4798 eV per atom; density of states at the Fermi level = 0.50 states/eV/f.u.
1.0
4.906 -1.391 0.000
4.906 1.391 0.000
-1.608 0.000 3.858
V B N
2 2 2
direct
0.000 0.000 0.000 V
0.244 0.244 0.662 V
0.491 0.491 0.590 B
0.862 0.862 0.419 B
0.587 0.587 0.382 N
0.810 0.810 0.040 N

(4)
GGA-PBE VBN, relaxed; E = -51.26 eV/cell; E above lowest polymorph = 33 meV per atom; raw formation energy = -0.5030 eV per atom; density of states at the Fermi level = 0.32 states/eV/f.u.
1.0
2.825 0.000 0.000
0.051 4.034 0.000
0.028 0.812 4.571
V B N
2 2 2
direct
0.000 0.000 0.000 V
0.423 0.550 0.751 V
0.516 0.107 0.568 B
0.726 0.533 0.346 B
0.519 0.892 0.343 N
0.918 0.483 0.065 N

(5)
GGA-PBE VBN, relaxed; E = -51.23 eV/cell; E above lowest polymorph = 37 meV per atom; raw formation energy = -0.4984 eV per atom; density of states at the Fermi level = 0.73 states/eV/f.u.
1.0
4.106 0.000 0.000
0.000 2.632 0.000
-0.818 0.000 4.613
V B N
2 2 2
direct
0.000 0.000 0.000 V
0.451 0.500 0.742 V
0.467 0.500 0.275 B
0.904 0.500 0.572 B
0.114 0.500 0.345 N
0.521 0.000 0.098 N

(6)
GGA-PBE V2BN, relaxed; E = -67.67 eV/cell; E above lowest polymorph = 527 meV per atom; raw formation energy = -0.1484 eV per atom; density of states at the Fermi level = 3.74 states/eV/f.u.
1.0
-2.275 2.275 4.585
2.275 -2.275 4.585
2.275 2.275 -4.585
V B N
4 2 2
direct
0.102 0.625 0.977 V
0.375 0.352 0.477 V
0.648 0.125 0.023 V
0.875 0.898 0.523 V
0.250 0.750 0.500 B
0.500 0.500 0.000 B
0.000 0.000 0.000 N
0.750 0.250 0.500 N

(7)
GGA-PBE V2BN, relaxed; E = -35.94 eV/cell; E above lowest polymorph = 0 meV per atom; raw formation energy = -0.6753 eV per atom; density of states at the Fermi level = 2.74 states/eV/f.u.
1.0
1.479 0.854 4.915
-1.479 0.854 4.915
0.000 -1.707 4.915
V B N
2 1 1
direct
0.245 0.245 0.245 V
0.755 0.755 0.755 V
0.000 0.000 0.000 B
0.500 0.500 0.500 N

(8)
GGA-PBE VBN, relaxed; E = -51.46 eV/cell; E above lowest polymorph = 0 meV per atom; raw formation energy = -0.5358 eV per atom; density of states at the Fermi level = 1.75 states/eV/f.u.
1.0
3.088 0.000 0.000
0.000 2.641 0.000
-1.147 0.000 6.813
V B N
2 2 2
direct
0.000 0.000 0.000 V
0.438 0.500 0.746 V
0.541 0.500 0.116 B
0.766 0.000 0.442 B
0.597 0.000 0.225 N
0.860 0.500 0.536 N

(9)
GGA-PBE VBN, relaxed; E = -51.14 eV/cell; E above lowest polymorph = 53 meV per atom; raw formation energy = -0.4829 eV per atom; density of states at the Fermi level = 1.36 states/eV/f.u.
1.0
2.532 0.000 0.000
0.437 2.802 0.000
0.092 0.914 7.884
V B N
2 2 2
direct
0.000 0.000 0.000 V
0.485 0.430 0.258 V
0.511 0.575 0.820 B
0.984 0.797 0.543 B
0.003 0.645 0.727 N
0.475 0.869 0.453 N

(10)
GGA-PBE V7B2N2, relaxed; E = -99.68 eV/cell; raw formation energy = -0.5312 eV per atom; density of states at the Fermi level = 7.13 states/eV/f.u.
1.0
-1.442 5.642 3.422
1.442 -5.642 3.422
1.442 5.642 -3.422
V B N
7 2 2
direct
0.000 0.000 0.000 V
0.073 0.390 0.683 V
0.112 0.757 0.355 V
0.401 0.757 0.645 V
0.482 0.595 0.887 V
0.707 0.390 0.317 V
0.709 0.595 0.113 V
0.331 0.331 0.000 B
0.760 0.260 0.500 B
0.338 0.089 0.249 N
0.839 0.089 0.751 N